No. 1
The following is a PBE calculation of a geometry-optimized Sr3W5 structure, from the Alexandria database.

Properties
DOS at the Fermi energy   1.049 states/eV per atom
Symmetry   Cmmm, No. 65
Energy of formation from the pure elements   1339 meV per atom
Volume   165.1 Å³ per cell

Cell lengths 7.184, 7.184, 3.211 Å; angles 90.00, 90.00, 94.96 degrees
Sites, in units of the cell vectors:
Sr 0.500 0.500 0.000
Sr 0.746 0.746 0.500
Sr 0.254 0.254 0.500
W 0.000 0.000 0.000
W 0.500 0.000 0.000
W 0.000 0.500 0.000
W 0.788 0.212 0.500
W 0.212 0.788 0.500

=====

No. 2
The following is a PBE calculation of a geometry-optimized Sr3W structure, from the Alexandria database.

Properties
DOS at the Fermi energy   0.898 states/eV per atom
E above lowest polymorph   0.430 eV per atom
Symmetry   Pnma, No. 62
Energy of formation from the pure elements   944 meV per atom
Volume   634.5 Å³ per cell

Cell lengths 6.827, 8.958, 10.375 Å; angles 90.00, 90.00, 90.00 degrees
Sites, in units of the cell vectors:
Sr 0.112 0.031 0.750
Sr 0.612 0.469 0.250
Sr 0.388 0.531 0.750
Sr 0.888 0.969 0.250
Sr 0.636 0.171 0.939
Sr 0.136 0.329 0.061
Sr 0.864 0.671 0.561
Sr 0.364 0.829 0.439
Sr 0.364 0.829 0.061
Sr 0.864 0.671 0.939
Sr 0.136 0.329 0.439
Sr 0.636 0.171 0.561
W 0.571 0.876 0.750
W 0.071 0.624 0.250
W 0.929 0.376 0.750
W 0.429 0.124 0.250

=====

No. 3
The following is a PBE calculation of a geometry-optimized SrW structure, from the Alexandria database.

Properties
DOS at the Fermi energy   0.899 states/eV per atom
E above lowest polymorph   0.853 eV per atom
Symmetry   P4/mmm, No. 123
Energy of formation from the pure elements   1377 meV per atom
Volume   45.4 Å³ per cell

Cell lengths 2.879, 2.879, 5.475 Å; angles 90.00, 90.00, 90.00 degrees
Sites, in units of the cell vectors:
Sr 0.000 0.000 0.000
W 0.500 0.500 0.500

=====

No. 4
The following is a PBE calculation of a geometry-optimized Sr3W structure, from the Alexandria database.

Properties
DOS at the Fermi energy   0.906 states/eV per atom
E above lowest polymorph   0.700 eV per atom
Symmetry   R-3m, No. 166
Energy of formation from the pure elements   1213 meV per atom
Volume   144.9 Å³ per cell

Cell lengths 6.807, 6.807, 6.807 Å; angles 116.73, 116.73, 116.73 degrees
Sites, in units of the cell vectors:
Sr 0.000 0.000 0.000
Sr 0.500 0.000 0.500
Sr 0.500 0.500 0.000
W 0.000 0.500 0.500

=====

No. 5
The following is a PBE calculation of a geometry-optimized Sr3W structure, from the Alexandria database.

Properties
DOS at the Fermi energy   1.048 states/eV per atom
E above lowest polymorph   0.555 eV per atom
Symmetry   Fm-3m, No. 225
Energy of formation from the pure elements   1068 meV per atom
Volume   141.2 Å³ per cell

Cell lengths 5.845, 5.845, 5.845 Å; angles 119.98, 119.98, 90.03 degrees
Sites, in units of the cell vectors:
Sr 0.250 0.750 0.500
Sr 0.500 0.500 0.000
Sr 0.750 0.250 0.500
W 0.000 0.000 0.000

=====

No. 6
The following is a PBE calculation of a geometry-optimized SrW2 structure, from the Alexandria database.

Properties
DOS at the Fermi energy   0.875 states/eV per atom
Symmetry   Pnnm, No. 58
Energy of formation from the pure elements   1425 meV per atom
Volume   145.8 Å³ per cell

Cell lengths 3.066, 5.878, 8.088 Å; angles 90.00, 90.00, 90.00 degrees
Sites, in units of the cell vectors:
Sr 0.000 0.000 0.000
Sr 0.500 0.500 0.500
W 0.758 0.000 0.383
W 0.242 0.000 0.617
W 0.258 0.500 0.117
W 0.742 0.500 0.883

=====

No. 7
The following is a PBE calculation of a geometry-optimized SrW structure, from the Alexandria database.

Properties
DOS at the Fermi energy   0.829 states/eV per atom
E above lowest polymorph   0.195 eV per atom
Symmetry   R-3m, No. 166
Energy of formation from the pure elements   719 meV per atom
Volume   142.5 Å³ per cell

Cell lengths 9.253, 9.253, 9.253 Å; angles 26.84, 26.84, 26.84 degrees
Sites, in units of the cell vectors:
Sr 0.089 0.089 0.089
Sr 0.911 0.911 0.911
W 0.333 0.333 0.333
W 0.667 0.667 0.667

=====

No. 8
The following is a PBE calculation of a geometry-optimized SrW structure, from the Alexandria database.

Properties
DOS at the Fermi energy   1.494 states/eV per atom
E above lowest polymorph   1.474 eV per atom
Symmetry   Pm-3m, No. 221
Energy of formation from the pure elements   1999 meV per atom
Volume   54.5 Å³ per cell

Cell lengths 3.793, 3.793, 3.793 Å; angles 90.00, 90.00, 90.00 degrees
Sites, in units of the cell vectors:
Sr 0.000 0.000 0.000
W 0.500 0.500 0.500

=====

No. 9
The following is a PBE calculation of a geometry-optimized Sr3W2 structure, from the Alexandria database.

Properties
DOS at the Fermi energy   0.975 states/eV per atom
Symmetry   P-3m1, No. 164
Energy of formation from the pure elements   1211 meV per atom
Volume   185.7 Å³ per cell

Cell lengths 4.936, 4.936, 8.800 Å; angles 90.00, 90.00, 120.00 degrees
Sites, in units of the cell vectors:
Sr 0.000 0.000 0.000
Sr 0.667 0.333 0.684
Sr 0.333 0.667 0.316
W 0.667 0.333 0.034
W 0.333 0.667 0.966

=====

No. 10
The following is a PBE calculation of a geometry-optimized SrW structure, from the Alexandria database.

Properties
DOS at the Fermi energy   1.029 states/eV per atom
E above lowest polymorph   0.873 eV per atom
Symmetry   Fd-3m, No. 227
Energy of formation from the pure elements   1397 meV per atom
Volume   92.7 Å³ per cell

Cell lengths 5.081, 5.081, 5.081 Å; angles 60.00, 60.00, 60.00 degrees
Sites, in units of the cell vectors:
Sr 0.000 0.000 0.000
Sr 0.250 0.250 0.250
W 0.500 0.500 0.500
W 0.750 0.750 0.750

=====

No. 11
The following is a PBE calculation of a geometry-optimized SrW structure, from the Alexandria database.

Properties
DOS at the Fermi energy   1.247 states/eV per atom
E above lowest polymorph   0.625 eV per atom
Symmetry   Fddd, No. 70
Energy of formation from the pure elements   1149 meV per atom
Volume   876.3 Å³ per cell

Cell lengths 6.094, 15.092, 9.528 Å; angles 90.00, 90.00, 90.00 degrees
Sites, in units of the cell vectors:
Sr 0.000 0.000 0.665
Sr 0.000 0.000 0.335
Sr 0.250 0.750 0.585
Sr 0.250 0.750 0.915
Sr 0.000 0.500 0.165
Sr 0.000 0.500 0.835
Sr 0.250 0.250 0.085
Sr 0.250 0.250 0.415
Sr 0.500 0.000 0.165
Sr 0.500 0.000 0.835
Sr 0.750 0.750 0.085
Sr 0.750 0.750 0.415
Sr 0.500 0.500 0.665
Sr 0.500 0.500 0.335
Sr 0.750 0.250 0.585
Sr 0.750 0.250 0.915
W 0.000 0.076 0.000
W 0.000 0.924 0.000
W 0.250 0.674 0.250
W 0.250 0.826 0.250
W 0.000 0.576 0.500
W 0.000 0.424 0.500
W 0.250 0.174 0.750
W 0.250 0.326 0.750
W 0.500 0.076 0.500
W 0.500 0.924 0.500
W 0.750 0.674 0.750
W 0.750 0.826 0.750
W 0.500 0.576 0.000
W 0.500 0.424 0.000
W 0.750 0.174 0.250
W 0.750 0.326 0.250

=====

No. 12
The following is a PBE calculation of a geometry-optimized SrW3 structure, from the Alexandria database.

Properties
DOS at the Fermi energy   1.382 states/eV per atom
E above lowest polymorph   0.368 eV per atom
Symmetry   P-6m2, No. 187
Energy of formation from the pure elements   1140 meV per atom
Volume   76.2 Å³ per cell

Cell lengths 2.848, 2.848, 10.839 Å; angles 90.00, 90.00, 120.00 degrees
Sites, in units of the cell vectors:
Sr 0.000 0.000 0.000
W 0.000 0.000 0.500
W 0.667 0.333 0.276
W 0.667 0.333 0.724

=====

Question: Number 11 is which compound?
Answer: SrW